(1)
First-principles (PBEsol) data for a geometry-optimized Mn2CoOsPb structure, as listed in the Alexandria database.

Lattice parameters (Å, degrees): 4.6513 4.6513 5.0856 90.00 90.00 90.00
With the nearest neighbours (Å) after each atom.
Space group P4/mmm (No. 123)
Unique sites:
1 Mn 0.0000 0.5000 0.0000 (multiplicity 2)  2 Os 2.33
2 Co 0.0000 0.0000 0.5000 (multiplicity 1)  4 Pb 3.29, 8 Mn 3.45
3 Os 0.5000 0.5000 0.0000 (multiplicity 1)  4 Mn 2.33, 2 Pb 2.54
4 Pb 0.5000 0.5000 0.5000 (multiplicity 1)  2 Os 2.54

Output
Total energy = -6.986 eV/atom
ΔH_f (0 K) = 1709 meV/atom
ρ = 8.55 g cm⁻³
Size of the total moment = 9.40 μB/cell

***

(2)
First-principles (PBEsol) data for a geometry-optimized Cs3AgHg structure, as listed in the Alexandria database.

Lattice parameters (Å, degrees): 6.8947 6.8947 6.8947 90.00 90.00 90.00
With the nearest neighbours (Å) after each atom.
Space group Pm-3m (No. 221)
Unique sites:
1 Cs 0.0000 0.0000 0.5000 (multiplicity 3)  2 Hg 3.45
2 Ag 0.5000 0.5000 0.5000 (multiplicity 1)  12 Cs 4.88
3 Hg 0.0000 0.0000 0.0000 (multiplicity 1)  6 Cs 3.45

Output
Total energy = -1.128 eV/atom
ΔH_f (0 K) = 213 meV/atom
ρ = 3.58 g cm⁻³
Size of the total moment = 0.00 μB/cell

***

(3)
First-principles (PBEsol) data for a geometry-optimized SrPb3N structure, as listed in the Alexandria database.

Lattice parameters (Å, degrees): 6.1281 6.1281 6.1281 90.00 90.00 90.00
With the nearest neighbours (Å) after each atom.
Space group Pm-3m (No. 221)
Unique sites:
1 Sr 0.0000 0.0000 0.0000 (multiplicity 1)  6 Pb 3.06
2 Pb 0.0000 0.0000 0.5000 (multiplicity 3)  2 Sr 3.06
3 N 0.5000 0.5000 0.5000 (multiplicity 1)  12 Pb 4.33

Output
Energy relative to the lowest polymorph listed for this composition = 1.577 eV per atom
Uncorrected formation energy = 1.81 eV per atom
Total energy = -2.659 eV/atom
ρ = 5.22 g cm⁻³
Size of the total moment = 3.43 μB/cell

***

(4)
First-principles (PBEsol) data for a geometry-optimized SrMo2Se structure, as listed in the Alexandria database.

Lattice parameters (Å, degrees): 3.3131 3.3131 7.3971 90.00 90.00 90.00
With the nearest neighbours (Å) after each atom.
Space group P4mm (No. 99)
Unique sites:
1 Sr 0.0000 0.0000 0.0000 (multiplicity 1)  4 Se 3.22, 4 Sr 3.31, 4 Mo 3.40
2 Mo 0.0000 0.0000 0.4938 (multiplicity 1)  4 Mo 2.62, 4 Se 2.80
3 Mo 0.5000 0.5000 0.3339 (multiplicity 1)  4 Mo 2.62, 1 Se 2.71
4 Se 0.5000 0.5000 0.7008 (multiplicity 1)  5 Mo 2.71-2.80

Output
Uncorrected formation energy = 0.08 eV per atom
Total energy = -7.229 eV/atom
ρ = 7.33 g cm⁻³
Size of the total moment = 0.01 μB/cell